Model A:
Below is a geometry-optimized HfPd2I structure, with properties calculated at the PBE level.

Geometry as POSCAR:
```
HfPd2I
1.0
6.832 0.000 0.000
0.000 6.832 0.000
0.000 0.000 6.832
Hf Pd I
4 8 4
Direct
0.000 0.000 0.000
0.000 0.500 0.500
0.500 0.000 0.500
0.500 0.500 0.000
0.250 0.250 0.250
0.250 0.250 0.750
0.250 0.750 0.250
0.250 0.750 0.750
0.750 0.250 0.250
0.750 0.250 0.750
0.750 0.750 0.250
0.750 0.750 0.750
0.000 0.000 0.500
0.000 0.500 0.000
0.500 0.000 0.000
0.500 0.500 0.500
```

## Properties
SG = Fm-3m, No. 225


Model B:
Below is a geometry-optimized HfPd2I structure, with properties calculated at the PBE level.

Geometry as POSCAR:
```
HfPd2I
1.0
6.865 0.000 0.000
0.000 6.865 0.000
0.000 0.000 8.907
Hf Pd I
4 8 4
Direct
0.000 0.000 0.000
0.000 0.500 0.250
0.500 0.000 0.750
0.500 0.500 0.500
0.226 0.750 0.125
0.250 0.226 0.875
0.250 0.274 0.375
0.274 0.750 0.625
0.726 0.250 0.625
0.750 0.726 0.375
0.750 0.774 0.875
0.774 0.250 0.125
0.000 0.000 0.500
0.000 0.500 0.750
0.500 0.000 0.250
0.500 0.500 0.000
```

## Properties
SG = I-42d, No. 122


Order of stability, best first: model A, model B


Model A:
Below is a geometry-optimized Hf2PdI structure, with properties calculated at the PBE level.

Geometry as POSCAR:
```
Hf2PdI
1.0
6.908 0.000 0.000
0.000 6.908 0.000
0.000 0.000 6.908
Hf Pd I
8 4 4
Direct
0.250 0.250 0.250
0.250 0.250 0.750
0.250 0.750 0.250
0.250 0.750 0.750
0.750 0.250 0.250
0.750 0.250 0.750
0.750 0.750 0.250
0.750 0.750 0.750
0.000 0.000 0.000
0.000 0.500 0.500
0.500 0.000 0.500
0.500 0.500 0.000
0.000 0.000 0.500
0.000 0.500 0.000
0.500 0.000 0.000
0.500 0.500 0.500
```

## Properties
SG = Fm-3m, No. 225


Model B:
Below is a geometry-optimized Hf2PdI structure, with properties calculated at the PBE level.

Geometry as POSCAR:
```
Hf2PdI
1.0
5.954 0.000 0.000
0.000 5.954 0.000
0.000 0.000 13.706
Hf Pd I
8 4 4
Direct
0.187 0.250 0.125
0.250 0.687 0.375
0.250 0.813 0.875
0.313 0.250 0.625
0.687 0.750 0.625
0.750 0.187 0.875
0.750 0.313 0.375
0.813 0.750 0.125
0.000 0.000 0.000
0.000 0.500 0.250
0.500 0.000 0.750
0.500 0.500 0.500
0.000 0.000 0.500
0.000 0.500 0.750
0.500 0.000 0.250
0.500 0.500 0.000
```

## Properties
SG = I-42d, No. 122


Order of stability, best first: model A, model B


Model A:
Below is a geometry-optimized HfSb2PdI structure, with properties calculated at the PBE level.

Geometry as POSCAR:
```
HfSb2PdI
1.0
5.520 0.000 0.000
0.000 5.520 0.000
0.000 0.000 5.566
Hf Sb Pd I
1 2 1 1
Direct
0.000 0.000 0.000
0.000 0.500 0.000
0.500 0.000 0.000
0.500 0.500 0.500
0.000 0.000 0.500
```

## Properties
SG = P4/mmm, No. 123


Model B:
Below is a geometry-optimized HfSb2PdI structure, with properties calculated at the PBE level.

Geometry as POSCAR:
```
HfSb2PdI
1.0
5.184 0.000 0.000
0.000 5.184 0.000
0.000 0.000 5.303
Hf Sb Pd I
1 2 1 1
Direct
0.000 0.000 0.000
0.000 0.500 0.500
0.500 0.000 0.500
0.500 0.500 0.500
0.500 0.500 0.000
```

## Properties
SG = P4/mmm, No. 123


Order of stability, best first: model A, model B


Model A:
Below is a geometry-optimized HfPtI3 structure, with properties calculated at the PBE level.

Geometry as POSCAR:
```
HfPtI3
1.0
5.411 0.000 0.000
0.000 5.411 0.000
0.000 0.000 5.411
Hf Pt I
1 1 3
Direct
0.000 0.000 0.000
0.500 0.500 0.500
0.000 0.500 0.500
0.500 0.000 0.500
0.500 0.500 0.000
```

## Properties
SG = Pm-3m, No. 221


Model B:
Below is a geometry-optimized HfPtI3 structure, with properties calculated at the PBE level.

Geometry as POSCAR:
```
HfPtI3
1.0
5.600 0.000 0.000
0.000 5.600 0.000
0.000 0.000 5.600
Hf Pt I
1 1 3
Direct
0.000 0.000 0.000
0.500 0.500 0.500
0.000 0.000 0.500
0.000 0.500 0.000
0.500 0.000 0.000
```

## Properties
SG = Pm-3m, No. 221


Order of stability, best first: model B, model A


Model A:
Below is a geometry-optimized Hf2PtI structure, with properties calculated at the PBE level.

Geometry as POSCAR:
```
Hf2PtI
1.0
6.902 0.000 0.000
0.000 6.902 0.000
0.000 0.000 6.902
Hf Pt I
8 4 4
Direct
0.250 0.250 0.250
0.250 0.250 0.750
0.250 0.750 0.250
0.250 0.750 0.750
0.750 0.250 0.250
0.750 0.250 0.750
0.750 0.750 0.250
0.750 0.750 0.750
0.000 0.000 0.000
0.000 0.500 0.500
0.500 0.000 0.500
0.500 0.500 0.000
0.000 0.000 0.500
0.000 0.500 0.000
0.500 0.000 0.000
0.500 0.500 0.500
```

## Properties
SG = Fm-3m, No. 225


Model B:
Below is a geometry-optimized Hf2PtI structure, with properties calculated at the PBE level.

Geometry as POSCAR:
```
Hf2PtI
1.0
6.048 0.000 0.000
0.000 6.048 0.000
0.000 0.000 13.514
Hf Pt I
8 4 4
Direct
0.188 0.250 0.125
0.250 0.688 0.375
0.250 0.812 0.875
0.312 0.250 0.625
0.688 0.750 0.625
0.750 0.188 0.875
0.750 0.312 0.375
0.812 0.750 0.125
0.000 0.000 0.000
0.000 0.500 0.250
0.500 0.000 0.750
0.500 0.500 0.500
0.000 0.000 0.500
0.000 0.500 0.750
0.500 0.000 0.250
0.500 0.500 0.000
```

## Properties
SG = I-42d, No. 122


Order of stability, best first: model A, model B


Model A:
Below is a geometry-optimized Hf2PtI2 structure, with properties calculated at the PBE level.

Geometry as POSCAR:
```
Hf2PtI2
1.0
7.205 0.000 0.000
0.000 7.205 0.000
0.000 0.000 5.075
Hf Pt I
4 2 4
Direct
0.177 0.323 0.000
0.323 0.823 0.000
0.677 0.177 0.000
0.823 0.677 0.000
0.000 0.000 0.000
0.500 0.500 0.000
0.177 0.677 0.500
0.323 0.177 0.500
0.677 0.823 0.500
0.823 0.323 0.500
```

## Properties
SG = P4/mbm, No. 127


Model B:
Below is a geometry-optimized Hf2PtI2 structure, with properties calculated at the PBE level.

Geometry as POSCAR:
```
Hf2PtI2
1.0
4.522 0.000 0.000
0.000 4.522 0.000
0.000 0.000 12.974
Hf Pt I
4 2 4
Direct
0.000 0.000 0.105
0.000 0.000 0.895
0.500 0.500 0.395
0.500 0.500 0.605
0.000 0.000 0.500
0.500 0.500 0.000
0.000 0.500 0.250
0.000 0.500 0.750
0.500 0.000 0.250
0.500 0.000 0.750
```

## Properties
SG = I4/mmm, No. 139


Order of stability, best first: model A, model B